1.
First-principles (GGA-PBE) data for an optimized crystal structure of Tb4CdAgHg2, as listed in Alexandria.

a b c (Å): 9.105 9.105 9.105
angles (deg): 33.57 33.57 33.57
Atoms (fractional coordinates):
Tb: 0.122 0.122 0.122
Tb: 0.373 0.373 0.373
Tb: 0.627 0.627 0.627
Tb: 0.878 0.878 0.878
Cd: 0.500 0.500 0.500
Ag: 0.000 0.000 0.000
Hg: 0.247 0.247 0.247
Hg: 0.753 0.753 0.753

## Properties
The space group is R-3m, No. 166. For the total magnetization, the calculation gives 0.000 Bohr magnetons per cell. The total energy comes out at -26.11 eV/cell. As for the formation energy from the elements: -0.40 eV per atom.



2.
First-principles (GGA-PBE) data for an optimized crystal structure of Y2ZrCu, as listed in Alexandria.

a b c (Å): 6.126 6.126 6.126
angles (deg): 146.02 130.31 61.57
Atoms (fractional coordinates):
Y: 0.211 0.211 0.000
Y: 0.789 0.789 0.000
Zr: 0.500 0.000 0.500
Cu: 0.000 0.500 0.500

## Properties
The space group is Immm, No. 71. For the total magnetization, the calculation gives 0.001 Bohr magnetons per cell. Its energy above the most stable polymorph in this dataset is 153 meV per atom. The total energy comes out at -25.22 eV/cell. As for the formation energy from the elements: 0.09 eV per atom.



3.
First-principles (GGA-PBE) data for an optimized crystal structure of SrGaIr3, as listed in Alexandria.

a b c (Å): 5.027 5.027 5.027
angles (deg): 90.00 90.00 90.00
Atoms (fractional coordinates):
Sr: 0.000 0.000 0.000
Ga: 0.500 0.500 0.500
Ir: 0.000 0.000 0.500
Ir: 0.000 0.500 0.000
Ir: 0.500 0.000 0.000

## Properties
The space group is Pm-3m, No. 221. For the total magnetization, the calculation gives 1.954 Bohr magnetons per cell. Its energy above the most stable polymorph in this dataset is 2050 meV per atom. The total energy comes out at -18.44 eV/cell. As for the formation energy from the elements: 2.57 eV per atom.



4.
First-principles (GGA-PBE) data for an optimized crystal structure of Eu2CuPt, as listed in Alexandria.

a b c (Å): 5.066 5.066 3.663
angles (deg): 90.00 90.00 90.00
Atoms (fractional coordinates):
Eu: 0.000 0.500 0.000
Eu: 0.500 0.000 0.000
Cu: 0.000 0.000 0.500
Pt: 0.500 0.500 0.500

## Properties
The space group is P4/mmm, No. 123. For the total magnetization, the calculation gives 14.185 Bohr magnetons per cell. The total energy comes out at -32.76 eV/cell. As for the formation energy from the elements: -0.52 eV per atom.



5.
First-principles (GGA-PBE) data for an optimized crystal structure of Nd3Sm4TmTe8, as listed in Alexandria.

a b c (Å): 8.886 8.886 8.886
angles (deg): 60.20 60.20 60.20
Atoms (fractional coordinates):
Nd: 0.000 0.500 0.500
Nd: 0.500 0.000 0.500
Nd: 0.500 0.500 0.000
Sm: 0.000 0.000 0.500
Sm: 0.000 0.500 0.000
Sm: 0.500 0.000 0.000
Sm: 0.500 0.500 0.500
Tm: 0.000 0.000 0.000
Te: 0.242 0.755 0.755
Te: 0.245 0.245 0.758
Te: 0.245 0.758 0.245
Te: 0.248 0.248 0.248
Te: 0.752 0.752 0.752
Te: 0.755 0.242 0.755
Te: 0.755 0.755 0.242
Te: 0.758 0.245 0.245

## Properties
The space group is R-3m, No. 166. For the total magnetization, the calculation gives 0.000 Bohr magnetons per cell. The total energy comes out at -84.61 eV/cell. The value obtained for the uncorrected formation energy is -1.364 eV/atom.



6.
First-principles (GGA-PBE) data for an optimized crystal structure of Sr2MnWI, as listed in Alexandria.

a b c (Å): 6.148 6.148 4.853
angles (deg): 90.00 90.00 90.00
Atoms (fractional coordinates):
Sr: 0.000 0.500 0.000
Sr: 0.500 0.000 0.000
Mn: 0.000 0.000 0.500
W: 0.500 0.500 0.500
I: 0.000 0.000 0.000

## Properties
The space group is P4/mmm, No. 123. For the total magnetization, the calculation gives 7.133 Bohr magnetons per cell. The total energy comes out at -20.39 eV/cell. The value obtained for the uncorrected formation energy is 1.329 eV/atom.